Entry 1:
Entry from the Alexandria database: a relaxed YMn7 crystal (PBE-GGA).

a b c (Å): 5.553 5.553 5.553
angles (deg): 60.00 60.00 60.00
Fractional positions:
Y: 0.000 0.000 0.000
Mn: 0.000 0.000 0.500
Mn: 0.000 0.500 0.000
Mn: 0.000 0.500 0.500
Mn: 0.500 0.000 0.000
Mn: 0.500 0.000 0.500
Mn: 0.500 0.500 0.000
Mn: 0.500 0.500 0.500

Summary:
- DFT formation energy: 0.417 eV/atom
- Uncorrected energy: -8.41 eV/atom


Entry 2:
Entry from the Alexandria database: a relaxed KTlAs5 crystal (PBE-GGA).

a b c (Å): 6.855 6.855 12.535
angles (deg): 92.31 92.31 138.24
Fractional positions:
K: 0.013 0.987 0.750
K: 0.987 0.013 0.250
Tl: 0.500 0.500 0.000
Tl: 0.500 0.500 0.500
As: 0.070 0.460 0.636
As: 0.110 0.736 0.963
As: 0.264 0.890 0.537
As: 0.307 0.693 0.250
As: 0.460 0.070 0.136
As: 0.540 0.930 0.864
As: 0.693 0.307 0.750
As: 0.736 0.110 0.463
As: 0.890 0.264 0.037
As: 0.930 0.540 0.364

Summary:
- DFT formation energy: -0.052 eV/atom
- Uncorrected energy: -3.87 eV/atom


Entry 3:
Entry from the Alexandria database: a relaxed Cs2TiI4 crystal (PBE-GGA).

a b c (Å): 10.460 10.460 10.460
angles (deg): 147.82 147.82 46.15
Fractional positions:
Cs: 0.142 0.142 0.000
Cs: 0.858 0.858 0.000
Ti: 0.500 0.500 0.000
I: 0.000 0.500 0.500
I: 0.346 0.346 0.000
I: 0.500 0.000 0.500
I: 0.654 0.654 0.000

Summary:
- Uncorrected energy: -3.38 eV/atom
- Relative energy among the computed polymorphs: 0 meV per atom


Entry 4:
Entry from the Alexandria database: a relaxed TaCoRu2C crystal (PBE-GGA).

a b c (Å): 4.701 4.701 4.498
angles (deg): 90.00 90.00 90.00
Fractional positions:
Ta: 0.000 0.000 0.000
Co: 0.000 0.000 0.500
Ru: 0.000 0.500 0.000
Ru: 0.500 0.000 0.000
C: 0.500 0.500 0.500

Summary:
- DFT formation energy: 2.802 eV/atom
- Uncorrected energy: -6.54 eV/atom


Entry 5:
Entry from the Alexandria database: a relaxed Ti12ReSi6 crystal (PBE-GGA).

a b c (Å): 7.413 7.413 7.413
angles (deg): 111.20 111.20 111.20
Fractional positions:
Ti: 0.040 0.173 0.305
Ti: 0.173 0.305 0.040
Ti: 0.228 0.684 0.597
Ti: 0.305 0.040 0.173
Ti: 0.316 0.403 0.772
Ti: 0.403 0.772 0.316
Ti: 0.597 0.228 0.684
Ti: 0.684 0.597 0.228
Ti: 0.695 0.960 0.827
Ti: 0.772 0.316 0.403
Ti: 0.827 0.695 0.960
Ti: 0.960 0.827 0.695
Re: 0.500 0.500 0.500
Si: 0.087 0.574 0.865
Si: 0.135 0.913 0.426
Si: 0.426 0.135 0.913
Si: 0.574 0.865 0.087
Si: 0.865 0.087 0.574
Si: 0.913 0.426 0.135

Summary:
- Uncorrected energy: -7.78 eV/atom


no.,total magnetic moment (μB/f.u.)
1,15.468
2,0.000
3,2.000
4,2.198
5,0.000